# 1
The following is a PBE calculation of BaCa2Pb9 after structural relaxation, from Alexandria.

The density of states at the Fermi level is 0.3401 states/eV per atom. The space-group type is P4/mmm (123). The calculation puts the formation energy at -7.66 kcal/mol of atoms.

a = 5.0210 Å, b = 5.0210 Å, c = 14.9269 Å
α = 90.00°, β = 90.00°, γ = 90.00°
With the nearest neighbours (Å) after each atom.
Fractional positions:
Ba (0.0000, 0.0000, 0.0000)  12 Pb 3.55-3.64
Ca (0.0000, 0.0000, 0.3383)  12 Pb 3.48-3.55
Ca (0.0000, 0.0000, 0.6617)  12 Pb 3.48-3.55
Pb (0.0000, 0.5000, 0.1769)  8 Pb 3.47-3.64, 2 Ca 3.48, 2 Ba 3.64
Pb (0.0000, 0.5000, 0.5000)  4 Ca 3.48, 8 Pb 3.49-3.55
Pb (0.0000, 0.5000, 0.8231)  8 Pb 3.47-3.64, 2 Ca 3.48, 2 Ba 3.64
Pb (0.5000, 0.0000, 0.1769)  8 Pb 3.47-3.64, 2 Ca 3.48, 2 Ba 3.64
Pb (0.5000, 0.0000, 0.5000)  4 Ca 3.48, 8 Pb 3.49-3.55
Pb (0.5000, 0.0000, 0.8231)  8 Pb 3.47-3.64, 2 Ca 3.48, 2 Ba 3.64
Pb (0.5000, 0.5000, 0.0000)  4 Ba 3.55, 8 Pb 3.64
Pb (0.5000, 0.5000, 0.3376)  8 Pb 3.47-3.49, 4 Ca 3.55
Pb (0.5000, 0.5000, 0.6624)  8 Pb 3.47-3.49, 4 Ca 3.55

---

# 2
The following is a PBE calculation of MnTc4Pb after structural relaxation, from Alexandria.

The density of states at the Fermi level is 1.2728 states/eV per atom. The space-group type is F-43m (216). The calculation puts the formation energy at 12.54 kcal/mol of atoms.

a = 5.2212 Å, b = 5.2212 Å, c = 5.2212 Å
α = 60.00°, β = 60.00°, γ = 60.00°
With the nearest neighbours (Å) after each atom.
Fractional positions:
Mn (0.0000, 0.0000, 0.0000)  12 Tc 3.06, 4 Pb 3.20
Tc (0.1235, 0.6255, 0.6255)  6 Tc 2.60-2.62
Tc (0.6255, 0.1235, 0.6255)  6 Tc 2.60-2.62
Tc (0.6255, 0.6255, 0.1235)  6 Tc 2.60-2.62
Tc (0.6255, 0.6255, 0.6255)  6 Tc 2.60-2.62
Pb (0.2500, 0.2500, 0.2500)  12 Tc 3.06, 4 Mn 3.20

---

# 3
The following is a PBE calculation of NbV2Ge6 after structural relaxation, from Alexandria.

The density of states at the Fermi level is 0.5881 states/eV per atom. The space-group type is C222 (21). The calculation puts the formation energy at -5.13 kcal/mol of atoms.

a = 4.8834 Å, b = 4.8834 Å, c = 6.6962 Å
α = 90.00°, β = 90.00°, γ = 119.71°
With the nearest neighbours (Å) after each atom.
Fractional positions:
Nb (0.0000, 0.0000, 0.0000)  10 Ge 2.69-2.82
V (0.0000, 0.5000, 0.6684)  10 Ge 2.61-2.83
V (0.5000, 0.0000, 0.3316)  10 Ge 2.61-2.83
Ge (0.1681, 0.3392, 0.3390)  5 Ge 2.60-2.88, 4 V 2.61-2.83, 1 Nb 2.69
Ge (0.3342, 0.6658, 0.0000)  2 V 2.63, 5 Ge 2.66-2.84, 3 Nb 2.82
Ge (0.3392, 0.1681, 0.6610)  5 Ge 2.60-2.88, 4 V 2.61-2.83, 1 Nb 2.69
Ge (0.6608, 0.8319, 0.6610)  5 Ge 2.60-2.88, 4 V 2.61-2.83, 1 Nb 2.69
Ge (0.6658, 0.3342, 0.0000)  2 V 2.63, 5 Ge 2.66-2.84, 3 Nb 2.82
Ge (0.8319, 0.6608, 0.3390)  5 Ge 2.60-2.88, 4 V 2.61-2.83, 1 Nb 2.69

---

# 4
The following is a PBE calculation of YEr4As5 after structural relaxation, from Alexandria.

The density of states at the Fermi level is 0.0737 states/eV per atom. The space-group type is I4/m (87). The calculation puts the formation energy at -35.24 kcal/mol of atoms.

a = 7.0866 Å, b = 7.0866 Å, c = 7.0866 Å
α = 99.59°, β = 99.59°, γ = 131.81°
With the nearest neighbours (Å) after each atom.
Fractional positions:
Y (0.0000, 0.0000, 0.0000)  6 As 2.89-2.91
Er (0.2000, 0.6005, 0.8006)  6 As 2.88-2.89
Er (0.3995, 0.2000, 0.5995)  6 As 2.88-2.89
Er (0.6005, 0.8000, 0.4005)  6 As 2.88-2.89
Er (0.8000, 0.3995, 0.1994)  6 As 2.88-2.89
As (0.1005, 0.3015, 0.4020)  5 Er 2.88-2.89, 1 Y 2.91
As (0.3015, 0.8995, 0.2010)  5 Er 2.88-2.89, 1 Y 2.91
As (0.5000, 0.5000, 0.0000)  2 Y 2.89, 4 Er 2.89
As (0.6985, 0.1005, 0.7990)  5 Er 2.88-2.89, 1 Y 2.91
As (0.8995, 0.6985, 0.5980)  5 Er 2.88-2.89, 1 Y 2.91

---

# 5
The following is a PBE calculation of Ba2AlInTe5 after structural relaxation, from Alexandria.

The space-group type is Cmc2_1 (36). The value obtained for the formation energy (no corrections) is -96 kJ per mole of atoms.

a = 11.0706 Å, b = 11.0706 Å, c = 13.7526 Å
α = 90.00°, β = 90.00°, γ = 156.93°
With the nearest neighbours (Å) after each atom.
Fractional positions:
Ba (0.1144, 0.8856, 0.5000)  8 Te 3.50-3.86
Ba (0.1173, 0.8827, 0.1135)  7 Te 3.49-3.71
Ba (0.8827, 0.1173, 0.6135)  7 Te 3.49-3.71
Ba (0.8856, 0.1144, 0.0000)  8 Te 3.50-3.86
Al (0.4350, 0.5650, 0.2662)  4 Te 2.61-2.70
Al (0.5650, 0.4350, 0.7662)  4 Te 2.61-2.70
In (0.2280, 0.7720, 0.8429)  5 Te 2.83-3.10
In (0.7720, 0.2280, 0.3429)  5 Te 2.83-3.10
Te (0.0411, 0.9589, 0.8721)  2 Al 2.70
Te (0.2800, 0.7200, 0.4892)  2 In 3.00
Te (0.3179, 0.6821, 0.2032)  1 Al 2.68
Te (0.3565, 0.6435, 0.8078)  1 In 2.83
Te (0.4935, 0.5065, 0.0999)  1 Al 2.61
Te (0.5065, 0.4935, 0.5999)  1 Al 2.61
Te (0.6435, 0.3565, 0.3078)  1 In 2.83
Te (0.6821, 0.3179, 0.7032)  1 Al 2.68
Te (0.7200, 0.2800, 0.9892)  2 In 3.00
Te (0.9589, 0.0411, 0.3721)  2 Al 2.70

---

# 6
The following is a PBE calculation of BaBe2Bi2O6 after structural relaxation, from Alexandria.

The density of states at the Fermi level is 0.0000 states/eV per atom. The space-group type is P-1 (2). The value obtained for the formation energy (no corrections) is -184 kJ per mole of atoms.

a = 5.5867 Å, b = 6.2031 Å, c = 6.4698 Å
α = 65.37°, β = 66.22°, γ = 68.42°
With the nearest neighbours (Å) after each atom.
Fractional positions:
Ba (0.0000, 0.0000, 0.0000)  6 O 2.64-2.86
Be (0.3191, 0.5002, 0.7248)  3 O 1.54-1.59
Be (0.6809, 0.4998, 0.2752)  3 O 1.54-1.59
Bi (0.2980, 0.3218, 0.3127)  3 O 2.21-2.28
Bi (0.7020, 0.6782, 0.6873)  3 O 2.21-2.28
O (0.1537, 0.3919, 0.6675)  1 Be 1.54
O (0.2869, 0.7798, 0.6641)  1 Be 1.57
O (0.4566, 0.6535, 0.1415)  1 Be 1.59
O (0.5434, 0.3465, 0.8585)  1 Be 1.59
O (0.7131, 0.2202, 0.3359)  1 Be 1.57
O (0.8463, 0.6081, 0.3325)  1 Be 1.54

---

# 7
The following is a PBE calculation of Re3IBr after structural relaxation, from Alexandria.

The density of states at the Fermi level is 1.8595 states/eV per atom. The space-group type is Pm-3m (221). The value obtained for the formation energy (no corrections) is 304 kJ per mole of atoms. The relative energy among the computed polymorphs is 411 meV/atom.

a = 4.9337 Å, b = 4.9337 Å, c = 4.9337 Å
α = 90.00°, β = 90.00°, γ = 90.00°
With the nearest neighbours (Å) after each atom.
Fractional positions:
Re (0.0000, 0.0000, 0.5000)  2 I 2.47
Re (0.0000, 0.5000, 0.0000)  2 I 2.47
Re (0.5000, 0.0000, 0.0000)  2 I 2.47
I (0.0000, 0.0000, 0.0000)  6 Re 2.47
Br (0.5000, 0.5000, 0.5000)  12 Re 3.49

---

# 8
The following is a PBE calculation of NaFeMoPb2 after structural relaxation, from Alexandria.

The density of states at the Fermi level is 1.4298 states/eV per atom. The space-group type is P4/mmm (123). The calculation puts the formation energy at 47.02 kcal/mol of atoms.

a = 5.1492 Å, b = 5.1492 Å, c = 4.2907 Å
α = 90.00°, β = 90.00°, γ = 90.00°
With the nearest neighbours (Å) after each atom.
Fractional positions:
Na (0.0000, 0.0000, 0.0000)  2 Fe 2.15
Fe (0.0000, 0.0000, 0.5000)  2 Na 2.15
Mo (0.5000, 0.5000, 0.5000)  8 Pb 3.35, 4 Fe 3.64
Pb (0.0000, 0.5000, 0.0000)  2 Na 2.57
Pb (0.5000, 0.0000, 0.0000)  2 Na 2.57

---

# 9
The following is a PBE calculation of ThVBr2 after structural relaxation, from Alexandria.

The density of states at the Fermi level is 0.9512 states/eV per atom. The space-group type is R-3m (166). The value obtained for the formation energy (no corrections) is -23 kJ per mole of atoms.

a = 3.6234 Å, b = 3.6234 Å, c = 28.4036 Å
α = 90.00°, β = 90.00°, γ = 120.00°
With the nearest neighbours (Å) after each atom.
Fractional positions:
Th (0.0000, 0.0000, 0.0000)  2 Br 3.15
Th (0.3333, 0.6667, 0.6667)  2 Br 3.15
Th (0.6667, 0.3333, 0.3333)  2 Br 3.15
V (0.0000, 0.0000, 0.5000)  6 Br 2.62
V (0.3333, 0.6667, 0.1667)  6 Br 2.62
V (0.6667, 0.3333, 0.8333)  6 Br 2.62
Br (0.0000, 0.0000, 0.1109)  3 V 2.62
Br (0.0000, 0.0000, 0.8891)  3 V 2.62
Br (0.3333, 0.6667, 0.5558)  3 V 2.62
Br (0.3333, 0.6667, 0.7776)  3 V 2.62
Br (0.6667, 0.3333, 0.2224)  3 V 2.62
Br (0.6667, 0.3333, 0.4442)  3 V 2.62

---

# 10
The following is a PBE calculation of NdTm2Tl after structural relaxation, from Alexandria.

The density of states at the Fermi level is 1.0134 states/eV per atom. The space-group type is P2_1/m (11). The relative energy among the computed polymorphs is 7 meV/atom. The calculation puts the formation energy at -3.79 kcal/mol of atoms.

a = 4.7016 Å, b = 4.8233 Å, c = 11.1038 Å
α = 90.00°, β = 102.18°, γ = 90.00°
With the nearest neighbours (Å) after each atom.
Fractional positions:
Nd (0.1920, 0.2500, 0.3835)  5 Tl 3.19-3.43
Nd (0.8080, 0.7500, 0.6165)  5 Tl 3.19-3.43
Tm (0.0560, 0.7500, 0.1117)  2 Tl 3.28, 8 Tm 3.37-3.49
Tm (0.4368, 0.7500, 0.8737)  2 Tl 3.22, 6 Tm 3.37-3.49
Tm (0.5632, 0.2500, 0.1263)  2 Tl 3.22, 6 Tm 3.37-3.49
Tm (0.9440, 0.2500, 0.8883)  2 Tl 3.28, 8 Tm 3.37-3.49
Tl (0.3389, 0.2500, 0.6776)  5 Nd 3.19-3.43, 4 Tm 3.22-3.28
Tl (0.6611, 0.7500, 0.3224)  5 Nd 3.19-3.43, 4 Tm 3.22-3.28

---

Values for E_tot, hartree per atom, ordered as above
-0.1326, -0.3129, -0.2369, -0.2324, -0.1429, -0.2268, -0.1824, -0.1311, -0.1913, -0.1537
Values for theoretical density, Mg/m³, ordered as above
9.19, 10.79, 7.55, 7.77, 5.30, 6.14, 10.58, 8.60, 6.83, 9.26